# 1
{"formula": "RhW2Se", "functional": "PBE-GGA", "state": "relaxed", "dos_ef_per_ev_atom": 0.869, "sg": "C2/m (12)", "density_g_cm3": 14.1, "e_tot_ev_per_cell": -35.4, "formation_energy_uncorrected_kj_per_mol_fu": 129, "lattice_angstrom": [[5.015, -0.007, 0.002], [4.103, 2.884, 0.002], [0.259, 0.082, 4.467]], "species": ["Se", "W", "W", "Rh"], "frac_coords": [[0.250, 0.250, 0.250], [0.020, 0.020, 0.984], [0.480, 0.480, 0.516], [0.750, 0.750, 0.750]]}

***

# 2
{"formula": "CoNi6B", "functional": "PBE-GGA", "state": "relaxed", "ef_ev_per_atom": 0.00, "dos_ef_per_ev_atom": 1.538, "sg": "P-1 (2)", "density_g_cm3": 8.6, "e_tot_ev_per_cell": -48.5, "lattice_angstrom": [[-1.494, -3.915, -1.850], [2.648, -5.378, -0.944], [0.352, -2.457, 3.725]], "species": ["Co", "Ni", "Ni", "Ni", "Ni", "Ni", "Ni", "B"], "frac_coords": [[0.500, 0.500, 0.500], [0.449, 0.316, 0.117], [0.187, 0.252, 0.746], [0.115, 0.117, 0.315], [0.885, 0.883, 0.685], [0.813, 0.748, 0.254], [0.551, 0.684, 0.883], [0.000, 0.000, 0.000]]}

***

# 3
{"formula": "ZrTlGaF2", "functional": "PBE-GGA", "state": "relaxed", "dos_ef_per_ev_atom": 0.507, "sg": "P4/mmm (123)", "density_g_cm3": 6.4, "e_tot_ev_per_cell": -25.9, "formation_energy_uncorrected_kj_per_mol_fu": -788, "lattice_angstrom": [[4.241, 0.000, 0.000], [0.000, 5.788, 0.000], [0.000, 0.000, 4.241]], "species": ["Tl", "Zr", "F", "F", "Ga"], "frac_coords": [[0.500, 0.500, 0.500], [0.000, 0.000, 0.000], [0.000, 0.000, 0.500], [0.500, 0.000, 0.000], [0.000, 0.500, 0.000]]}

***

# 4
{"formula": "K4Nd3ErTe8", "functional": "PBE-GGA", "state": "relaxed", "sg": "R-3m (166)", "density_g_cm3": 4.9, "e_tot_ev_per_cell": -70.9, "formation_energy_uncorrected_kj_per_mol_fu": -2170, "lattice_angstrom": [[9.165, 0.000, 0.000], [0.000, 9.798, 0.433], [-4.582, -4.579, 6.485]], "species": ["K", "K", "Te", "Nd", "Te", "Te", "Te", "Te", "Er", "Te", "K", "K", "Nd", "Nd", "Te", "Te"], "frac_coords": [[0.500, 0.000, 0.500], [0.500, 0.000, 0.000], [0.746, 0.711, 0.979], [0.000, 0.500, 0.500], [0.767, 0.288, 0.534], [0.261, 0.284, 0.523], [0.767, 0.289, 0.021], [0.233, 0.712, 0.466], [0.000, 0.500, 0.000], [0.254, 0.289, 0.021], [0.000, 0.000, 0.500], [0.000, 0.000, 0.000], [0.500, 0.500, 0.000], [0.500, 0.500, 0.500], [0.233, 0.711, 0.979], [0.739, 0.716, 0.477]]}

***

# 5
{"formula": "NdDy2Sc4", "functional": "PBE-GGA", "state": "relaxed", "ef_ev_per_atom": 0.06, "dos_ef_per_ev_atom": 1.600, "sg": "P1 (1)", "density_g_cm3": 5.5, "e_tot_ev_per_cell": -77.7, "relative_energy_mev_per_atom": 0, "lattice_angstrom": [[-3.559, -4.018, 5.396], [7.249, -5.213, 0.849], [2.763, 4.350, 2.874]], "species": ["Dy", "Dy", "Sc", "Sc", "Dy", "Sc", "Sc", "Sc", "Nd", "Dy", "Sc", "Sc", "Nd", "Sc"], "frac_coords": [[0.910, 0.379, 0.966], [0.419, 0.872, 0.965], [0.759, 0.089, 0.251], [0.553, 0.163, 0.678], [0.691, 0.449, 0.394], [0.627, 0.799, 0.535], [0.347, 0.236, 0.105], [0.270, 0.589, 0.249], [0.197, 0.942, 0.390], [0.133, 0.308, 0.537], [0.054, 0.659, 0.680], [0.481, 0.520, 0.822], [0.972, 0.015, 0.818], [0.838, 0.728, 0.109]]}

***

# 6
{"formula": "Sr2CdCu2Pd5", "functional": "PBE-GGA", "state": "relaxed", "ef_ev_per_atom": -0.43, "dos_ef_per_ev_atom": 0.211, "sg": "P4/mbm (127)", "density_g_cm3": 8.3, "e_tot_ev_per_cell": -85.5, "lattice_angstrom": [[-0.956, -0.825, -3.716], [-9.044, -2.538, 2.890], [-3.011, 9.267, -1.282]], "species": ["Pd", "Cu", "Sr", "Pd", "Pd", "Sr", "Cd", "Sr", "Pd", "Pd", "Pd", "Pd", "Cu", "Pd", "Cu", "Pd", "Cu", "Pd", "Sr", "Cd"], "frac_coords": [[0.500, 0.437, 0.290], [0.000, 0.618, 0.882], [0.000, 0.821, 0.679], [0.500, 0.790, 0.937], [0.500, 0.563, 0.710], [0.000, 0.679, 0.179], [0.000, 0.000, 0.000], [0.000, 0.179, 0.321], [0.500, 0.000, 0.500], [0.500, 0.710, 0.437], [0.500, 0.063, 0.790], [0.500, 0.210, 0.063], [0.000, 0.118, 0.618], [0.500, 0.290, 0.563], [0.000, 0.882, 0.382], [0.500, 0.937, 0.210], [0.000, 0.382, 0.118], [0.500, 0.500, 0.000], [0.000, 0.321, 0.821], [0.000, 0.500, 0.500]]}

***

# 7
{"formula": "PrNdGdRu", "functional": "PBE-GGA", "state": "relaxed", "ef_ev_per_atom": 0.18, "dos_ef_per_ev_atom": 1.814, "sg": "F-43m (216)", "density_g_cm3": 8.7, "e_tot_ev_per_cell": -32.2, "lattice_angstrom": [[5.274, 0.000, 0.000], [2.637, 4.567, 0.000], [2.637, 1.522, 4.306]], "species": ["Ru", "Gd", "Pr", "Nd"], "frac_coords": [[0.750, 0.750, 0.750], [0.250, 0.250, 0.250], [0.000, 0.000, 0.000], [0.500, 0.500, 0.500]]}

***

# 8
{"formula": "NaLa2BAs", "functional": "PBE-GGA", "state": "relaxed", "ef_ev_per_atom": 0.79, "dos_ef_per_ev_atom": 1.673, "sg": "P4/mmm (123)", "density_g_cm3": 4.9, "e_tot_ev_per_cell": -18.6, "lattice_angstrom": [[5.594, 0.000, 0.000], [0.000, 4.228, 0.000], [0.000, 0.000, 5.594]], "species": ["La", "B", "La", "As", "Na"], "frac_coords": [[0.000, 0.000, 0.500], [0.000, 0.500, 0.000], [0.500, 0.000, 0.000], [0.500, 0.500, 0.500], [0.000, 0.000, 0.000]]}

***

# 9
{"formula": "Ti8Sb2H3", "functional": "PBE-GGA", "state": "relaxed", "dos_ef_per_ev_atom": 1.042, "sg": "P4/mmm (123)", "density_g_cm3": 5.7, "e_tot_ev_per_cell": -85.0, "lattice_angstrom": [[4.044, 0.000, 0.000], [0.000, 4.044, 0.000], [0.000, 0.000, 11.301]], "species": ["Ti", "Ti", "H", "H", "Sb", "H", "Ti", "Sb", "Ti", "Ti", "Ti", "Ti", "Ti"], "frac_coords": [[0.000, 0.500, 0.000], [0.500, 0.000, 0.000], [0.500, 0.500, 0.000], [0.500, 0.500, 0.360], [0.000, 0.000, 0.188], [0.500, 0.500, 0.640], [0.000, 0.500, 0.621], [0.000, 0.000, 0.812], [0.500, 0.000, 0.379], [0.000, 0.500, 0.379], [0.500, 0.500, 0.194], [0.500, 0.500, 0.806], [0.500, 0.000, 0.621]]}

***

# 10
{"formula": "GdLuS", "functional": "PBE-GGA", "state": "relaxed", "dos_ef_per_ev_atom": 0.608, "sg": "P3m1 (156)", "density_g_cm3": 8.0, "e_tot_ev_per_cell": -26.5, "formation_energy_uncorrected_kj_per_mol_fu": -366, "lattice_angstrom": [[3.727, 0.000, 0.000], [-1.864, 3.228, 0.000], [0.000, 0.000, 6.322]], "species": ["Lu", "S", "Gd"], "frac_coords": [[0.333, 0.667, 0.596], [0.667, 0.333, 0.341], [0.000, 0.000, 0.064]]}

***

# 11
{"formula": "TlHgC3", "functional": "PBE-GGA", "state": "relaxed", "ef_ev_per_atom": 3.46, "dos_ef_per_ev_atom": 1.009, "sg": "Pm-3m (221)", "density_g_cm3": 8.1, "e_tot_ev_per_cell": -13.0, "lattice_angstrom": [[4.497, 0.000, 0.000], [0.000, 4.497, 0.000], [0.000, 0.000, 4.497]], "species": ["Hg", "C", "C", "Tl", "C"], "frac_coords": [[0.500, 0.500, 0.500], [0.000, 0.500, 0.000], [0.500, 0.000, 0.000], [0.000, 0.000, 0.000], [0.000, 0.000, 0.500]]}

***

# 12
{"formula": "InFeS", "functional": "PBE-GGA", "state": "relaxed", "dos_ef_per_ev_atom": 0.478, "sg": "Cmcm (63)", "density_g_cm3": 5.6, "e_tot_ev_per_cell": -31.7, "formation_energy_uncorrected_kj_per_mol_fu": -53, "lattice_angstrom": [[-1.273, 1.849, -4.529], [2.188, -3.045, -1.858], [-3.500, -4.797, -0.974]], "species": ["Fe", "S", "S", "In", "In", "Fe"], "frac_coords": [[0.500, 0.000, 0.000], [0.250, 0.157, 0.686], [0.750, 0.843, 0.314], [0.750, 0.605, 0.789], [0.250, 0.395, 0.211], [0.000, 0.000, 0.000]]}

***

What did the fifth record say?
{"formula": "NdDy2Sc4", "functional": "PBE-GGA", "state": "relaxed", "ef_ev_per_atom": 0.06, "dos_ef_per_ev_atom": 1.600, "sg": "P1 (1)", "density_g_cm3": 5.5, "e_tot_ev_per_cell": -77.7, "relative_energy_mev_per_atom": 0, "lattice_angstrom": [[-3.559, -4.018, 5.396], [7.249, -5.213, 0.849], [2.763, 4.350, 2.874]], "species": ["Dy", "Dy", "Sc", "Sc", "Dy", "Sc", "Sc", "Sc", "Nd", "Dy", "Sc", "Sc", "Nd", "Sc"], "frac_coords": [[0.910, 0.379, 0.966], [0.419, 0.872, 0.965], [0.759, 0.089, 0.251], [0.553, 0.163, 0.678], [0.691, 0.449, 0.394], [0.627, 0.799, 0.535], [0.347, 0.236, 0.105], [0.270, 0.589, 0.249], [0.197, 0.942, 0.390], [0.133, 0.308, 0.537], [0.054, 0.659, 0.680], [0.481, 0.520, 0.822], [0.972, 0.015, 0.818], [0.838, 0.728, 0.109]]}

***

Which formula does entry 4 have? K4Nd3ErTe8

***

What is the formula in the eleventh record? TlHgC3